1.
Sb2TeS after structural relaxation. Source: the Alexandria database, functional GGA-PBE.

Cell lengths 7.882, 7.882, 7.200 Å; angles 90.00, 90.00, 90.00 degrees
Space group I-42d (No. 122)
Unique sites:
1 Sb 0.223 0.750 0.125
2 Te 0.000 0.000 0.500
3 S 0.000 0.000 0.000

Energy relative to the lowest polymorph listed for this composition: 9.1 kJ/mol of atoms
Formation energy (no corrections): 0.1328 eV/atom

***

2.
Sb3TeS3 after structural relaxation. Source: the Alexandria database, functional GGA-PBE.

Cell lengths 11.619, 11.619, 11.619 Å; angles 90.00, 90.00, 90.00 degrees
Space group I-43m (No. 217)
Unique sites:
1 Sb 0.123 0.123 0.365
2 Te 0.112 0.112 0.112
3 S 0.112 0.350 0.350

Energy relative to the lowest polymorph listed for this composition: 0.0 kJ/mol of atoms
Formation energy (no corrections): -0.1051 eV/atom